No. 1
{"formula": "PmTh2BC2", "functional": "GGA-PBE", "state": "relaxed", "e_form_ev_per_fu": -1.21, "magmom_total_mub_per_cell": 0.00, "spacegroup": "Pnnm (58)", "cell": [[3.747, 0.000, 0.000], [0.000, 5.602, 0.000], [0.000, 0.000, 10.881]], "species": ["Th", "Th", "Th", "Th", "B", "B", "Pm", "Pm", "C", "C", "C", "C"], "fractional_positions": [[0.500, 0.947, 0.206], [0.500, 0.053, 0.794], [0.000, 0.553, 0.706], [0.000, 0.447, 0.294], [0.500, 0.500, 0.500], [0.000, 0.000, 0.000], [0.000, 0.000, 0.500], [0.500, 0.500, 0.000], [0.500, 0.311, 0.598], [0.500, 0.689, 0.402], [0.000, 0.189, 0.098], [0.000, 0.811, 0.902]]}


No. 2
{"formula": "Sc4C2F3", "functional": "GGA-PBE", "state": "relaxed", "magmom_total_mub_per_cell": 0.00, "spacegroup": "C2/m (12)", "total_energy_ev_per_atom": -7.576, "cell": [[3.300, 0.000, 0.003], [-1.650, 2.858, -0.003], [-0.002, 0.001, 13.239]], "species": ["F", "F", "F", "Sc", "Sc", "Sc", "Sc", "C", "C"], "fractional_positions": [[0.666, 0.334, 0.393], [0.000, 0.000, 0.000], [0.334, 0.666, 0.607], [0.666, 0.334, 0.122], [0.999, 0.001, 0.307], [0.334, 0.666, 0.878], [0.001, 0.999, 0.693], [0.667, 0.333, 0.792], [0.333, 0.667, 0.208]]}


No. 3
{"formula": "TcIrRh2", "functional": "GGA-PBE", "state": "relaxed", "e_form_ev_per_fu": -0.25, "magmom_total_mub_per_cell": 0.00, "spacegroup": "Pmmm (47)", "cell": [[-0.866, -2.159, -3.119], [-2.089, -1.086, 1.331], [-5.322, 2.876, -0.514]], "species": ["Rh", "Rh", "Tc", "Ir"], "fractional_positions": [[0.000, 0.997, 0.003], [0.000, 0.503, 0.497], [0.500, 0.250, 0.250], [0.500, 0.750, 0.750]]}


No. 4
{"formula": "LiAg2Pd", "functional": "GGA-PBE", "state": "relaxed", "e_form_ev_per_fu": -0.68, "magmom_total_mub_per_cell": 0.00, "spacegroup": "F-43m (216)", "cell": [[-3.118, 3.041, -1.205], [-3.318, -1.168, -2.838], [-4.238, -0.386, 1.515]], "species": ["Ag", "Ag", "Li", "Pd"], "fractional_positions": [[0.000, 0.000, 0.000], [0.250, 0.250, 0.250], [0.500, 0.500, 0.500], [0.750, 0.750, 0.750]]}


No. 5
{"formula": "Nd2Ir3Rh", "functional": "GGA-PBE", "state": "relaxed", "e_form_ev_per_fu": -4.12, "magmom_total_mub_per_cell": 0.00, "spacegroup": "R-3m (166)", "cell": [[4.803, -0.142, -2.518], [-3.054, 4.477, -0.235], [-0.205, 0.143, 5.441]], "species": ["Ir", "Ir", "Ir", "Nd", "Nd", "Rh"], "fractional_positions": [[0.500, 0.000, 0.500], [0.500, 0.500, 0.500], [0.000, 0.000, 0.500], [0.751, 0.376, 0.127], [0.249, 0.624, 0.873], [0.000, 0.000, 0.000]]}


No. 6
{"formula": "Pa2GaSn", "functional": "GGA-PBE", "state": "relaxed", "e_form_ev_per_fu": -0.83, "magmom_total_mub_per_cell": 0.03, "spacegroup": "P4/mmm (123)", "cell": [[3.284, 0.000, 0.000], [0.000, 3.284, 0.000], [0.000, 0.000, 8.726]], "species": ["Pa", "Pa", "Ga", "Sn"], "fractional_positions": [[0.000, 0.000, 0.232], [0.000, 0.000, 0.768], [0.500, 0.500, 0.000], [0.500, 0.500, 0.500]]}